{
  "formula": "AgAuF6",
  "functional": "PBE",
  "state": "optimized geometry",
  "total_magnetization_mub_per_fu": 0.00,
  "rho_g_cm3": 5.27,
  "energy_ev_per_atom": -3.219,
  "lattice": [[-0.876, 3.699, 3.950], [-3.400, -1.160, 4.147], [2.455, -1.054, 5.347]],
  "species": ["F", "Ag", "F", "Au", "F", "F", "F", "F"],
  "frac_coords": [[0.120, 0.348, 0.768], [0.500, 0.500, 0.500], [0.650, 0.237, 0.232], [0.000, 0.000, 0.000], [0.765, 0.120, 0.767], [0.880, 0.652, 0.232], [0.350, 0.763, 0.768], [0.235, 0.880, 0.233]]
}